An optimized crystal structure of LiSbTe3O12. Source: Alexandria, functional GGA-PBEsol.

The energy above the lowest structure with this stoichiometry comes out at 13 meV/atom.

CIF file:
```
data_LiSbTe3O12
_cell_length_a 5.044
_cell_length_b 5.280
_cell_length_c 7.307
_cell_angle_alpha 86.22
_cell_angle_beta 89.88
_cell_angle_gamma 89.99
_space_group_name_H-M_alt 'P 1'
_space_group_IT_number 1
loop_
_space_group_symop_operation_xyz
'x,y,z'
loop_
_atom_site_label
_atom_site_fract_x
_atom_site_fract_y
_atom_site_fract_z
Li1 0.000 0.000 0.000
Sb1 0.499 0.919 0.218
Te1 0.495 0.921 0.709
Te2 0.996 0.427 0.706
Te3 0.999 0.424 0.214
O1 0.126 0.403 0.957
O2 0.165 0.098 0.262
O3 0.178 0.741 0.641
O4 0.309 0.237 0.639
O5 0.316 0.592 0.277
O6 0.365 0.915 0.956
O7 0.636 0.923 0.468
O8 0.684 0.608 0.781
O9 0.698 0.231 0.138
O10 0.812 0.107 0.777
O11 0.820 0.733 0.141
O12 0.856 0.423 0.461
```

An optimized crystal structure of Li4SbTe3O12. Source: Alexandria, functional GGA-PBEsol.

The energy above the lowest structure with this stoichiometry comes out at 0 meV/atom. The density of states at the Fermi level comes out at 0.236 states/eV/atom.

CIF file:
```
data_Li4SbTe3O12
_cell_length_a 5.066
_cell_length_b 9.035
_cell_length_c 5.168
_cell_angle_alpha 90.00
_cell_angle_beta 95.20
_cell_angle_gamma 90.00
_space_group_name_H-M_alt 'P 1 2 1'
_space_group_IT_number 3
loop_
_space_group_symop_operation_xyz
'x,y,z'
'-x,y,-z'
loop_
_atom_site_label
_atom_site_fract_x
_atom_site_fract_y
_atom_site_fract_z
Li1 0.000 0.000 0.000
Li2 0.000 0.307 0.500
Li3 0.500 0.475 0.500
Li4 0.500 0.836 0.000
Sb1 0.500 0.057 0.500
Te1 0.000 0.558 0.000
Te2 0.000 0.755 0.500
Te3 0.500 0.246 0.000
O1 0.212 0.595 0.352
O2 0.212 0.717 0.849
O3 0.265 0.912 0.313
O4 0.283 0.220 0.294
O5 0.288 0.386 0.803
O6 0.291 0.083 0.811
```

An optimized crystal structure of Li4SbTe2WO12. Source: Alexandria, functional GGA-PBEsol.

The density of states at the Fermi level comes out at 0.179 states/eV/atom.

CIF file:
```
data_Li4SbTe2WO12
_cell_length_a 5.187
_cell_length_b 5.602
_cell_length_c 7.612
_cell_angle_alpha 84.26
_cell_angle_beta 89.76
_cell_angle_gamma 89.95
_space_group_name_H-M_alt 'P 1'
_space_group_IT_number 1
loop_
_space_group_symop_operation_xyz
'x,y,z'
loop_
_atom_site_label
_atom_site_fract_x
_atom_site_fract_y
_atom_site_fract_z
Li1 0.000 0.000 0.000
Li2 0.001 0.012 0.499
Li3 0.484 0.512 0.004
Li4 0.486 0.514 0.500
Sb1 0.992 0.583 0.287
Te1 0.491 0.086 0.280
Te2 0.998 0.561 0.787
W1 0.497 0.081 0.786
O1 0.130 0.621 0.046
O2 0.185 0.968 0.729
O3 0.198 0.289 0.373
O4 0.290 0.789 0.372
O5 0.341 0.424 0.745
O6 0.357 0.128 0.041
O7 0.638 0.102 0.561
O8 0.645 0.807 0.882
O9 0.669 0.411 0.228
O10 0.805 0.271 0.870
O11 0.818 0.914 0.232
O12 0.852 0.591 0.530
```

An optimized crystal structure of LiSbTe2WO12. Source: Alexandria, functional GGA-PBEsol.

The density of states at the Fermi level comes out at 0.000 states/eV/atom.

CIF file:
```
data_LiSbTe2WO12
_cell_length_a 5.078
_cell_length_b 5.295
_cell_length_c 7.338
_cell_angle_alpha 93.62
_cell_angle_beta 90.14
_cell_angle_gamma 90.03
_space_group_name_H-M_alt 'P 1'
_space_group_IT_number 1
loop_
_space_group_symop_operation_xyz
'x,y,z'
loop_
_atom_site_label
_atom_site_fract_x
_atom_site_fract_y
_atom_site_fract_z
Li1 0.000 0.000 0.000
Sb1 0.501 0.922 0.777
Te1 0.002 0.426 0.782
Te2 0.504 0.927 0.285
W1 0.003 0.432 0.289
O1 0.108 0.412 0.038
O2 0.170 0.103 0.732
O3 0.198 0.728 0.341
O4 0.301 0.229 0.340
O5 0.316 0.598 0.719
O6 0.370 0.919 0.038
O7 0.634 0.928 0.527
O8 0.699 0.618 0.228
O9 0.704 0.230 0.857
O10 0.810 0.114 0.221
O11 0.820 0.734 0.853
O12 0.883 0.427 0.532
```

An optimized crystal structure of Li4Ti3V3Sb2O16. Source: Alexandria, functional GGA-PBEsol.

The density of states at the Fermi level comes out at 0.230 states/eV/atom.

CIF file:
```
data_Li4Ti3V3Sb2O16
_cell_length_a 10.117
_cell_length_b 5.839
_cell_length_c 10.314
_cell_angle_alpha 90.00
_cell_angle_beta 90.16
_cell_angle_gamma 90.00
_space_group_name_H-M_alt 'C 1 m 1'
_space_group_IT_number 8
loop_
_space_group_symop_operation_xyz
'x,y,z'
'x,-y,z'
'x+1/2,y+1/2,z'
'x+1/2,-y+1/2,z'
loop_
_atom_site_label
_atom_site_fract_x
_atom_site_fract_y
_atom_site_fract_z
Li1 0.000 0.000 0.000
Li2 0.003 0.000 0.493
Li3 0.165 0.500 0.898
Li4 0.330 0.000 0.401
Ti1 0.327 0.500 0.225
Ti2 0.414 0.245 0.721
V1 0.086 0.270 0.220
V2 0.174 0.000 0.718
Sb1 0.165 0.500 0.505
Sb2 0.329 0.000 0.012
O1 0.001 0.000 0.312
O2 0.009 0.500 0.327
O3 0.079 0.228 0.609
O4 0.154 0.000 0.118
O5 0.171 0.500 0.106
O6 0.243 0.269 0.330
O7 0.253 0.236 0.821
O8 0.338 0.000 0.610
O9 0.345 0.500 0.606
O10 0.423 0.261 0.111
O11 0.488 0.000 0.822
O12 0.498 0.500 0.817
```

An optimized crystal structure of Li2V3SbO8. Source: Alexandria, functional GGA-PBEsol.

The energy above the lowest structure with this stoichiometry comes out at 0 meV/atom. The density of states at the Fermi level comes out at 0.227 states/eV/atom.

CIF file:
```
data_Li2V3SbO8
_cell_length_a 5.6489
_cell_length_b 5.6489
_cell_length_c 10.4608
_cell_angle_alpha 90.00
_cell_angle_beta 90.00
_cell_angle_gamma 120.00
_space_group_name_H-M_alt 'P 63 m c'
_space_group_IT_number 186
_space_group_name_Hall 'P 6c -2c'
loop_
_atom_site_label
_atom_site_fract_x
_atom_site_fract_y
_atom_site_fract_z
Li1 0.0000 0.0000 0.0000
Li2 0.3333 0.6667 0.4103
V1 0.1833 0.3665 0.7263
Sb1 0.3333 0.6667 0.0161
O1 0.0000 0.0000 0.3164
O2 0.0163 0.5082 0.8333
O3 0.1571 0.3142 0.1198
O4 0.3333 0.6667 0.6008
```

An optimized crystal structure of Li4V5Sb3O16. Source: Alexandria, functional GGA-PBEsol.

The density of states at the Fermi level comes out at 0.250 states/eV/atom.

CIF file:
```
data_Li4V5Sb3O16
_cell_length_a 6.154
_cell_length_b 6.177
_cell_length_c 9.373
_cell_angle_alpha 88.43
_cell_angle_beta 89.78
_cell_angle_gamma 60.43
_space_group_name_H-M_alt 'P 1'
_space_group_IT_number 1
loop_
_space_group_symop_operation_xyz
'x,y,z'
loop_
_atom_site_label
_atom_site_fract_x
_atom_site_fract_y
_atom_site_fract_z
Li1 0.000 0.000 0.000
Li2 0.125 0.729 0.498
Li3 0.388 0.053 0.594
Li4 0.724 0.432 0.089
V1 0.259 0.899 0.268
V2 0.418 0.576 0.788
V3 0.437 0.056 0.981
V4 0.724 0.423 0.500
V5 0.842 0.103 0.736
Sb1 0.242 0.397 0.250
Sb2 0.751 0.910 0.277
Sb3 0.923 0.556 0.781
O1 0.018 0.255 0.633
O2 0.064 0.785 0.158
O3 0.088 0.776 0.688
O4 0.133 0.190 0.124
O5 0.309 0.370 0.886
O6 0.325 0.866 0.894
O7 0.425 0.057 0.381
O8 0.432 0.610 0.381
O9 0.563 0.276 0.628
O10 0.581 0.783 0.145
O11 0.588 0.203 0.134
O12 0.593 0.681 0.647
O13 0.737 0.940 0.872
O14 0.763 0.344 0.880
O15 0.900 0.606 0.404
O16 0.928 0.062 0.382
```

An optimized crystal structure of Li2V3SbO8. Source: Alexandria, functional GGA-PBEsol.

The energy above the lowest structure with this stoichiometry comes out at 70 meV/atom. The density of states at the Fermi level comes out at 0.649 states/eV/atom.

CIF file:
```
data_Li2V3SbO8
_cell_length_a 5.7449
_cell_length_b 5.7449
_cell_length_c 15.8796
_cell_angle_alpha 90.00
_cell_angle_beta 90.00
_cell_angle_gamma 120.00
_space_group_name_H-M_alt 'R -3 m'
_space_group_IT_number 166
_space_group_name_Hall '-R 3 2"'
loop_
_atom_site_label
_atom_site_fract_x
_atom_site_fract_y
_atom_site_fract_z
Li1 0.0000 0.0000 0.1199
V1 0.0000 0.5000 0.0000
Sb1 0.0000 0.0000 0.5000
O1 0.0000 0.0000 0.2650
O2 0.0203 0.5102 0.2615
```

An optimized crystal structure of Li6V5SbO12. Source: Alexandria, functional GGA-PBEsol.

The density of states at the Fermi level comes out at 0.649 states/eV/atom.

CIF file:
```
data_Li6V5SbO12
_cell_length_a 5.245
_cell_length_b 9.071
_cell_length_c 10.339
_cell_angle_alpha 90.00
_cell_angle_beta 99.74
_cell_angle_gamma 90.00
_space_group_name_H-M_alt 'C 1 2/m 1'
_space_group_IT_number 12
loop_
_space_group_symop_operation_xyz
'x,y,z'
'-x,-y,-z'
'-x,y,-z'
'x,-y,z'
'x+1/2,y+1/2,z'
'-x+1/2,-y+1/2,-z'
'-x+1/2,y+1/2,-z'
'x+1/2,-y+1/2,z'
loop_
_atom_site_label
_atom_site_fract_x
_atom_site_fract_y
_atom_site_fract_z
Li1 0.234 0.170 0.214
Li2 0.245 0.500 0.214
V1 0.000 0.000 0.000
V2 0.000 0.167 0.500
V3 0.000 0.335 0.000
Sb1 0.000 0.500 0.500
O1 0.130 0.167 0.891
O2 0.130 0.500 0.887
O3 0.167 0.000 0.604
O4 0.219 0.316 0.604
```

An optimized crystal structure of Li3V3SbO8. Source: Alexandria, functional GGA-PBEsol.

The density of states at the Fermi level comes out at 0.341 states/eV/atom.

CIF file:
```
data_Li3V3SbO8
_cell_length_a 5.9619
_cell_length_b 5.9619
_cell_length_c 14.7103
_cell_angle_alpha 90.00
_cell_angle_beta 90.00
_cell_angle_gamma 120.00
_space_group_name_H-M_alt 'R -3 m'
_space_group_IT_number 166
_space_group_name_Hall '-R 3 2"'
loop_
_atom_site_label
_atom_site_fract_x
_atom_site_fract_y
_atom_site_fract_z
Li1 0.0000 0.5000 0.0000
V1 0.0000 0.5000 0.5000
Sb1 0.0000 0.0000 0.5000
O1 0.0000 0.0000 0.2418
O2 0.0090 0.5045 0.2419
```

An optimized crystal structure of Li2V3SbO8. Source: Alexandria, functional GGA-PBEsol.

The energy above the lowest structure with this stoichiometry comes out at 79 meV/atom. The density of states at the Fermi level comes out at 0.271 states/eV/atom.

CIF file:
```
data_Li2V3SbO8
_cell_length_a 8.381
_cell_length_b 8.381
_cell_length_c 8.381
_cell_angle_alpha 90.00
_cell_angle_beta 90.00
_cell_angle_gamma 90.00
_space_group_name_H-M_alt 'P 43 3 2'
_space_group_IT_number 212
_space_group_name_Hall 'P 4acd 2ab 3'
loop_
_atom_site_label
_atom_site_fract_x
_atom_site_fract_y
_atom_site_fract_z
Li1 0.006 0.006 0.006
V1 0.110 0.140 0.625
Sb1 0.125 0.875 0.375
O1 0.104 0.116 0.385
O2 0.124 0.624 0.876
```

An optimized crystal structure of LiSbWO6. Source: Alexandria, functional GGA-PBEsol.

The energy above the lowest structure with this stoichiometry comes out at 0 meV/atom. The density of states at the Fermi level comes out at 0.000 states/eV/atom.

CIF file:
```
data_LiSbWO6
_cell_length_a 4.686
_cell_length_b 17.429
_cell_length_c 5.012
_cell_angle_alpha 90.00
_cell_angle_beta 90.00
_cell_angle_gamma 90.00
_space_group_name_H-M_alt 'P b c n'
_space_group_IT_number 60
loop_
_space_group_symop_operation_xyz
'x,y,z'
'-x,-y,-z'
'-x+1/2,-y+1/2,z+1/2'
'x+1/2,y+1/2,-z+1/2'
'x+1/2,-y+1/2,-z'
'-x+1/2,y+1/2,z'
'-x,y,-z+1/2'
'x,-y,z+1/2'
loop_
_atom_site_label
_atom_site_fract_x
_atom_site_fract_y
_atom_site_fract_z
Li1 0.000 0.049 0.250
Sb1 0.000 0.282 0.750
W1 0.000 0.398 0.250
O1 0.208 0.365 0.558
O2 0.241 0.294 0.080
O3 0.245 0.041 0.605
```

Listing energy relative to the elements, uncorrected for the structures above in their given order: -1.102 -1.433 -1.658 -1.393 -2.340 -2.153 -1.912 -2.083 -2.015 -1.957 -2.075 -1.895 eV/atom.
Listing total DFT energy (no corrections) for the structures above in their given order: -98.83 -114.65 -129.44 -114.05 -440.72 -219.06 -207.24 -325.64 -351.77 -332.15 -433.73 -275.54 eV for the cell shown.